A relaxed Cr2Ag2Br crystal. Source: Alexandria, functional GGA-PBE.

Unit cell a=3.993 b=3.993 c=12.124 alpha=90.00 beta=90.00 gamma=90.00
Space group I4/mmm (No. 139)
Symmetry-distinct sites (fractional):
Cr  0.000  0.000  0.072 x4
Ag  0.000  0.500  0.250 x4
Br  0.000  0.000  0.500 x2

* magnetization: 0.00 Bohr magnetons per cell
* energy relative to the elements, uncorrected: 0.87 eV/atom

A relaxed Cr2AgBr crystal. Source: Alexandria, functional GGA-PBE.

Unit cell a=3.297 b=4.090 c=12.868 alpha=90.00 beta=90.00 gamma=90.00
Space group Imm2 (No. 44)
Symmetry-distinct sites (fractional):
Cr  0.000  0.000  0.000 x2
Cr  0.000  0.500  0.284 x2
Ag  0.000  0.500  0.858 x2
Br  0.000  0.000  0.616 x2

* magnetization: 17.93 Bohr magnetons per cell
* energy relative to the elements, uncorrected: 0.59 eV/atom

A relaxed Cs3CrAg2Br9 crystal. Source: Alexandria, functional GGA-PBE.

Unit cell a=7.7181 b=7.7181 c=9.5146 alpha=90.00 beta=90.00 gamma=120.00
Space group P-3m1 (No. 164)
Symmetry-distinct sites (fractional):
Cs  0.0000  0.0000  0.0000 x1
Cs  0.3333  0.6667  0.6692 x2
Cr  0.0000  0.0000  0.5000 x1
Ag  0.3333  0.6667  0.1652 x2
Br  0.0000  0.5000  0.0000 x3
Br  0.1567  0.3135  0.3454 x6

* magnetization: 3.45 Bohr magnetons per cell
* energy relative to the elements, uncorrected: -1.02 eV/atom

A relaxed CsCr2AgBr8 crystal. Source: Alexandria, functional GGA-PBE.

Unit cell a=7.0164 b=7.0164 c=29.7284 alpha=90.00 beta=90.00 gamma=120.00
Space group R-3 (No. 148, hexagonal axes)
Symmetry-distinct sites (fractional):
Cs  0.0000  0.0000  0.0000 x3
Cr  0.0000  0.0000  0.2442 x6
Ag  0.0000  0.0000  0.5000 x3
Br  0.0000  0.0000  0.3233 x6
Br  0.9998  0.3419  0.8909 x18

* magnetization: 18.00 Bohr magnetons per cell
* energy relative to the elements, uncorrected: -0.73 eV/atom

Question: Number 2 is which compound?
Answer: Cr2AgBr